(1)
VASP calculation (PBE) on an optimized crystal structure of Li2GaPd3.

Geometry as extended XYZ:
```
12
Lattice="6.688 -2.599 0.000 6.688 2.599 0.000 -0.833 0.000 4.974" Properties=species:S:1:pos:R:3 pbc="T T T"
Li 2.199 0.612 0.279
Li 1.782 -0.612 2.766
Li 10.760 0.612 2.208
Li 10.344 -0.612 4.695
Ga 6.480 0.809 1.244
Ga 6.063 -0.809 3.731
Pd 6.063 1.831 3.731
Pd 4.099 0.607 2.151
Pd 3.682 -0.607 4.639
Pd 8.860 0.607 0.336
Pd 8.444 -0.607 2.823
Pd 6.480 -1.831 1.244
```

## Properties
* DFT total energy: -25.374 eV per formula unit
* crystal system: monoclinic
* ΔH_f (0 K): -0.490 eV/atom
* energy above the most stable polymorph in this dataset: 0.68 eV/f.u.

***

(2)
VASP calculation (PBE) on an optimized crystal structure of Li2Ga3Pd3.

Geometry as extended XYZ:
```
16
Lattice="2.096 -4.646 0.000 2.096 4.646 0.000 0.000 0.000 12.289" Properties=species:S:1:pos:R:3 pbc="T T T"
Li 2.096 2.740 7.760
Li 2.096 2.740 10.674
Li 2.096 -2.740 1.615
Li 2.096 -2.740 4.529
Ga 2.096 1.103 0.609
Ga 2.096 1.103 5.536
Ga 2.096 0.572 9.217
Ga 2.096 -0.572 3.072
Ga 2.096 -1.103 6.753
Ga 2.096 -1.103 11.680
Pd 2.096 3.770 1.062
Pd 2.096 3.770 5.083
Pd 2.096 1.936 3.072
Pd 2.096 -1.936 9.217
Pd 2.096 -3.770 7.206
Pd 2.096 -3.770 11.227
```

## Properties
* DFT total energy: -32.225 eV per formula unit
* crystal system: orthorhombic
* ΔH_f (0 K): -0.467 eV/atom
* energy above the most stable polymorph in this dataset: 0.45 eV/f.u.

***

(3)
VASP calculation (PBE) on an optimized crystal structure of Li2GaPd4.

Geometry as extended XYZ:
```
7
Lattice="-2.307 2.307 6.330 2.307 -2.307 6.330 2.307 2.307 -6.330" Properties=species:S:1:pos:R:3 pbc="T T T"
Li 0.000 0.000 1.466
Li 0.000 0.000 11.195
Ga 0.000 0.000 6.330
Pd 2.307 0.000 0.000
Pd 0.000 0.000 3.960
Pd 0.000 2.307 0.000
Pd 0.000 0.000 8.701
```

## Properties
* DFT total energy: -27.225 eV per formula unit
* crystal system: tetragonal
* ΔH_f (0 K): 0.057 eV/atom
* energy above the most stable polymorph in this dataset: 3.48 eV/f.u.

***

(4)
VASP calculation (PBE) on an optimized crystal structure of LiGa6Pd5.

Geometry as extended XYZ:
```
12
Lattice="2.175 -6.575 0.000 2.175 6.575 0.000 -0.046 0.000 6.309" Properties=species:S:1:pos:R:3 pbc="T T T"
Li 0.000 0.000 0.000
Ga 2.140 4.371 4.735
Ga 2.165 4.371 1.573
Ga 2.160 0.000 1.613
Ga 2.145 0.000 4.696
Ga 2.140 -4.371 4.735
Ga 2.165 -4.371 1.573
Pd -0.023 0.000 3.154
Pd 2.152 2.223 3.154
Pd 2.175 2.100 0.000
Pd 2.175 -2.100 0.000
Pd 2.152 -2.223 3.154
```

## Properties
* DFT total energy: -52.595 eV per formula unit
* crystal system: monoclinic
* ΔH_f (0 K): -0.546 eV/atom

***

(5)
VASP calculation (PBE) on an optimized crystal structure of Li3Ga6Pd.

Geometry as extended XYZ:
```
20
Lattice="4.520 2.609 4.924 -4.520 2.609 4.924 0.000 -5.219 4.924" Properties=species:S:1:pos:R:3 pbc="T T T"
Li -1.845 0.982 5.035
Li 0.072 -2.089 5.035
Li -1.773 -1.107 9.738
Li 1.773 1.107 5.035
Li -0.072 2.089 9.738
Li 1.845 -0.982 9.738
Ga -4.049 -1.081 7.858
Ga -1.088 -4.047 6.916
Ga -2.016 -1.421 6.375
Ga -2.961 2.966 6.916
Ga -2.239 1.035 8.399
Ga 0.223 -2.457 8.399
Ga -0.223 2.457 6.375
Ga 2.239 -1.035 6.375
Ga 2.961 -2.966 7.858
Ga 2.016 1.421 8.399
Ga 1.088 4.047 7.858
Ga 4.049 1.081 6.916
Pd 0.000 0.000 0.000
Pd 0.000 0.000 7.387
```

## Properties
* DFT total energy: -31.893 eV per formula unit
* crystal system: trigonal
* ΔH_f (0 K): -0.280 eV/atom
* energy above the most stable polymorph in this dataset: 0.48 eV/f.u.

***

(6)
VASP calculation (PBE) on an optimized crystal structure of Li4Ga2Pd3.

Geometry as extended XYZ:
```
9
Lattice="6.142 -1.884 0.000 6.142 1.884 0.000 -2.339 0.000 5.647" Properties=species:S:1:pos:R:3 pbc="T T T"
Li -0.178 0.000 1.936
Li 1.885 0.000 3.768
Li 8.060 0.000 1.878
Li 10.123 0.000 3.711
Ga -0.400 0.000 5.634
Ga 10.345 0.000 0.012
Pd 3.898 0.000 1.759
Pd 6.142 0.000 0.000
Pd 6.047 0.000 3.887
```

## Properties
* DFT total energy: -33.830 eV per formula unit
* crystal system: monoclinic
* ΔH_f (0 K): -0.505 eV/atom
* energy above the most stable polymorph in this dataset: 0.29 eV/f.u.

***

(7)
VASP calculation (PBE) on an optimized crystal structure of LiGa3Pd3.

Geometry as extended XYZ:
```
28
Lattice="10.836 0.000 0.000 0.000 3.701 0.000 0.000 0.000 10.732" Properties=species:S:1:pos:R:3 pbc="T T T"
Li 0.771 0.925 2.051
Li 4.646 2.776 7.417
Li 6.189 0.925 3.315
Li 10.064 2.776 8.680
Ga 0.687 0.925 9.951
Ga 1.000 0.925 4.722
Ga 2.096 2.776 7.224
Ga 3.321 0.925 1.858
Ga 4.418 2.776 10.087
Ga 4.731 2.776 4.585
Ga 6.104 0.925 6.146
Ga 6.418 0.925 0.644
Ga 7.514 2.776 8.874
Ga 8.739 0.925 3.508
Ga 9.835 2.776 6.010
Ga 10.149 2.776 0.780
Pd 0.400 0.925 7.271
Pd 2.063 2.776 0.499
Pd 2.467 2.776 3.480
Pd 2.951 0.925 8.846
Pd 3.355 0.925 5.865
Pd 5.018 2.776 1.905
Pd 5.818 0.925 8.826
Pd 7.480 2.776 4.866
Pd 7.884 2.776 1.885
Pd 8.369 0.925 7.251
Pd 8.773 0.925 10.232
Pd 10.436 2.776 3.460
```

## Properties
* DFT total energy: -30.556 eV per formula unit
* crystal system: orthorhombic
* ΔH_f (0 K): -0.569 eV/atom
* energy above the most stable polymorph in this dataset: 0.00 eV/f.u.

***

(8)
VASP calculation (PBE) on an optimized crystal structure of Li2GaPd3.

Geometry as extended XYZ:
```
12
Lattice="4.297 0.000 0.000 0.000 5.949 0.000 -2.113 0.000 6.460" Properties=species:S:1:pos:R:3 pbc="T T T"
Li 0.000 0.000 0.000
Li 0.000 2.974 0.000
Li 0.024 0.000 4.302
Li 2.160 0.000 2.158
Ga 0.023 2.974 4.400
Ga 2.161 2.974 2.060
Pd 0.012 1.495 2.184
Pd 0.012 4.454 2.184
Pd 2.148 1.460 0.000
Pd 2.148 4.489 0.000
Pd 2.172 1.495 4.276
Pd 2.172 4.454 4.276
```

## Properties
* DFT total energy: -26.056 eV per formula unit
* crystal system: monoclinic
* ΔH_f (0 K): -0.604 eV/atom
* energy above the most stable polymorph in this dataset: 0.00 eV/f.u.

***

(9)
VASP calculation (PBE) on an optimized crystal structure of LiGa5Pd4.

Geometry as extended XYZ:
```
10
Lattice="-3.945 3.945 2.598 3.945 -3.945 2.598 3.945 3.945 -2.598" Properties=species:S:1:pos:R:3 pbc="T T T"
Li 0.000 0.000 0.000
Ga 2.636 -0.529 1.165
Ga 5.254 0.529 1.165
Ga 0.000 0.000 2.466
Ga 0.529 2.636 1.165
Ga -0.529 5.254 1.165
Pd 2.945 1.982 1.208
Pd 1.963 -1.000 3.806
Pd 1.982 4.945 1.208
Pd 1.000 1.963 3.806
```

## Properties
* DFT total energy: -42.049 eV per formula unit
* crystal system: tetragonal
* ΔH_f (0 K): -0.423 eV/atom

***

(10)
VASP calculation (PBE) on an optimized crystal structure of LiGaPd.

Geometry as extended XYZ:
```
3
Lattice="4.256 0.000 0.000 -2.128 3.686 0.000 0.000 0.000 2.782" Properties=species:S:1:pos:R:3 pbc="T T T"
Li 0.000 0.000 0.000
Ga 0.000 2.457 1.869
Pd 2.128 1.229 1.044
```

## Properties
* DFT total energy: -11.772 eV per formula unit
* crystal system: trigonal
* ΔH_f (0 K): -0.546 eV/atom